1.
# BaNaZn2Ir

A relaxed BaNaZn2Ir crystal (PBE-GGA, the Alexandria database).

Results
DFT formation energy ... -4 kJ per mole of atoms
SG ... P4/mmm
Crystal system ... tetragonal
E ... -2.98 eV/atom

a b c (Å): 4.9552 4.9552 5.3129
angles (deg): 90.00 90.00 90.00
Fractional positions:
Na (0.0000, 0.0000, 0.5000)
Zn (0.0000, 0.5000, 0.0000)
Zn (0.5000, 0.0000, 0.0000)
Ir (0.0000, 0.0000, 0.0000)
Ba (0.5000, 0.5000, 0.5000)

2.
# Ba2NaZnIr

A relaxed Ba2NaZnIr crystal (PBE-GGA, the Alexandria database).

Results
DFT formation energy ... -8 kJ per mole of atoms
SG ... P4/mmm
Crystal system ... tetragonal
E ... -3.15 eV/atom

a b c (Å): 6.1230 6.1230 4.9848
angles (deg): 90.00 90.00 90.00
Fractional positions:
Na (0.5000, 0.5000, 0.5000)
Zn (0.0000, 0.0000, 0.5000)
Ir (0.0000, 0.0000, 0.0000)
Ba (0.0000, 0.5000, 0.0000)
Ba (0.5000, 0.0000, 0.0000)

3.
# BaNb2Ir

A relaxed BaNb2Ir crystal (PBE-GGA, the Alexandria database).

Results
DFT formation energy ... 74 kJ per mole of atoms
SG ... I4_1/amd
Energy above the most stable polymorph in this dataset ... 0.50 eV/f.u.
Crystal system ... tetragonal
E ... -6.96 eV/atom

a b c (Å): 5.1679 5.1679 9.7058
angles (deg): 74.56 74.56 90.00
Fractional positions:
Nb (0.8751, 0.1250, 0.2500)
Nb (0.8749, 0.6250, 0.2500)
Nb (0.3750, 0.1249, 0.7500)
Nb (0.8750, 0.1251, 0.7500)
Ir (0.0000, 0.0000, 0.0000)
Ir (0.7500, 0.2500, 0.5000)
Ba (0.5000, 0.5000, 0.0000)
Ba (0.2500, 0.7500, 0.5000)

Which of these has the highest E?
BaNaZn2Ir

What is the DFT formation energy in the third record?
74 kJ per mole of atoms